(1)
Li2MnCdF6: relaxed, PBE with a Hubbard U.

The space group is P1 (No. 1) and the conventional cell measures 5.382, 5.388 and 5.737 Å, with angles of 90.09, 117.85 and 119.92 degrees. Symmetry generates all atoms from Li at (0.000, 0.000, 0.000), Li at (0.008, 0.506, 0.511), Mn at (0.585, 0.294, 0.877), Cd at (0.576, 0.790, 0.363), F at (0.068, 0.711, 0.185), F at (0.098, 0.880, 0.695), F at (0.472, 0.359, 0.181), F at (0.475, 0.597, 0.695), F at (0.813, 0.222, 0.693) and F at (0.826, 0.118, 0.183).

=====

(2)
LiMnCdF6: relaxed, PBE with a Hubbard U.

The space group is P4_2nm (No. 102) and the conventional cell measures 5.021, 5.021 and 9.494 Å, with angles of 90.00, 90.00 and 90.00 degrees. Symmetry generates all atoms from Li at (0.000, 0.000, 0.000), Mn at (0.000, 0.000, 0.662), Cd at (0.000, 0.000, 0.320), F at (0.176, 0.176, 0.815), F at (0.186, 0.186, 0.516) and F at (0.204, 0.204, 0.146).

=====

Let's list uncorrected energy in order: -4.97 -4.86 eV per atom.
Let's list M_tot in order: 5.00 4.00 μB per formula unit.